Computed, not measured: a geometry-optimized NaCr3Ga structure at the PBE level of DFT.

The structure in POSCAR format:
```
NaCr3Ga
1.0
4.9918 0.0000 0.0000
0.0000 4.9918 0.0000
0.0000 0.0000 4.9918
Na Cr Ga
1 3 1
Cartesian
0.0000 0.0000 0.0000
0.0000 0.0000 2.4959
0.0000 2.4959 0.0000
2.4959 0.0000 0.0000
2.4959 2.4959 2.4959
```

Values from the calculation:
Its symmetry is Pm-3m (221). For the offset from the most stable computed form, the calculation gives 817 meV per atom. Its volume is 124.38 Å³ per cell. The value obtained for the energy relative to the elements is 1.88 eV/atom.


Computed, not measured: a geometry-optimized Na3CrGa structure at the PBE level of DFT.

The structure in POSCAR format:
```
Na3CrGa
1.0
5.5643 0.0000 0.0000
0.0000 5.5643 0.0000
0.0000 0.0000 5.5643
Na Cr Ga
3 1 1
Cartesian
0.0000 0.0000 2.7822
0.0000 2.7822 0.0000
2.7822 0.0000 0.0000
2.7822 2.7822 2.7822
0.0000 0.0000 0.0000
```

Values from the calculation:
Its symmetry is Pm-3m (221). For the offset from the most stable computed form, the calculation gives 0 meV per atom. Its volume is 172.28 Å³ per cell. The value obtained for the energy relative to the elements is 0.75 eV/atom.


Computed, not measured: a geometry-optimized NaCr2Ga2 structure at the PBE level of DFT.

The structure in POSCAR format:
```
NaCr2Ga2
1.0
-2.3749 2.3749 3.8144
2.3749 -2.3749 3.8144
2.3749 2.3749 -3.8144
Na Cr Ga
1 2 2
Cartesian
0.0000 0.0000 0.0000
0.0000 0.0000 2.8566
0.0000 0.0000 4.7722
2.3749 0.0000 1.9072
0.0000 2.3749 1.9072
```

Values from the calculation:
Its symmetry is I4/mmm (139). For the offset from the most stable computed form, the calculation gives 297 meV per atom. Its volume is 86.06 Å³ per cell. The value obtained for the energy relative to the elements is 0.46 eV/atom.


Computed, not measured: a geometry-optimized NaCr2Ga2 structure at the PBE level of DFT.

The structure in POSCAR format:
```
NaCr2Ga2
1.0
7.7720 0.0000 0.0000
0.0000 7.7720 0.0000
0.0000 0.0000 2.5606
Na Cr Ga
2 4 4
Cartesian
0.0000 0.0000 0.0000
3.8860 3.8860 0.0000
0.7950 3.0910 1.2803
3.0910 6.9770 1.2803
4.6810 0.7950 1.2803
6.9770 4.6810 1.2803
1.4467 5.3327 0.0000
2.4393 1.4467 0.0000
5.3327 6.3253 0.0000
6.3253 2.4393 0.0000
```

Values from the calculation:
Its symmetry is P4/mbm (127). For the offset from the most stable computed form, the calculation gives 27 meV per atom. Its volume is 154.67 Å³ per cell. The value obtained for the energy relative to the elements is 0.19 eV/atom.


Computed, not measured: a geometry-optimized NaCrGa2 structure at the PBE level of DFT.

The structure in POSCAR format:
```
NaCrGa2
1.0
-2.3065 2.3065 9.1218
2.3065 -2.3065 9.1218
2.3065 2.3065 -9.1218
Na Cr Ga
2 2 4
Cartesian
0.0000 0.0000 0.0000
0.0000 2.3065 4.5609
2.3065 0.0000 4.5609
0.0000 0.0000 9.1218
1.1532 -0.5822 6.8414
1.7243 1.1532 2.2805
1.1532 2.8886 -2.2805
0.5822 1.1532 11.4023
```

Values from the calculation:
Its symmetry is I-42d (122). For the offset from the most stable computed form, the calculation gives 286 meV per atom. Its volume is 194.10 Å³ per cell. The value obtained for the energy relative to the elements is 0.46 eV/atom.


Which formula does entry 4 have? NaCr2Ga2


Which formula does entry 2 have? Na3CrGa